(1)
Zr2OsRh after structural relaxation. Source: Alexandria via LeMat-Bulk, functional PBE-GGA.

## Properties
total moment = 0.000 μB/f.u.
energy of formation = -0.05 eV per atom

Cell: 5.8815 5.8815 5.8815 Å, 104.76 104.76 119.36°
Sites, in units of the cell vectors:
1 Zr 0.1253 0.1250 0.5003
2 Zr 0.3750 0.8747 0.9997
3 Zr 0.6247 0.6250 0.4997
4 Zr 0.8750 0.3753 0.0003
5 Os 0.0000 0.0000 0.0000
6 Os 0.7500 0.2500 0.5000
7 Rh 0.2500 0.7500 0.5000
8 Rh 0.5000 0.5000 0.0000

***

(2)
ZrOsRh2 after structural relaxation. Source: Alexandria via LeMat-Bulk, functional PBE-GGA.

## Properties
total moment = 0.001 μB/f.u.
energy of formation = -0.07 eV per atom

Cell: 4.4996 4.4996 4.4996 Å, 60.00 60.00 60.00°
Sites, in units of the cell vectors:
1 Zr 0.0000 0.0000 0.0000
2 Os 0.2500 0.2500 0.2500
3 Rh 0.5000 0.5000 0.5000
4 Rh 0.7500 0.7500 0.7500

***

(3)
ZrOsRh2 after structural relaxation. Source: Alexandria via LeMat-Bulk, functional PBE-GGA.

## Properties
total moment = 0.000 μB/f.u.
energy of formation = -0.35 eV per atom

Cell: 4.8630 4.8630 4.8630 Å, 131.55 131.55 70.95°
Sites, in units of the cell vectors:
1 Zr 0.0000 0.0000 0.0000
2 Os 0.5000 0.5000 0.0000
3 Rh 0.2500 0.7500 0.5000
4 Rh 0.7500 0.2500 0.5000